K5GaAu2: optimized geometry, GGA-PBE.

a b c (Å): 4.2860 9.7540 17.2848
angles (deg): 90.00 90.00 102.69
Element x y z (fractional)
K 0.9242 0.8484 0.8773
K 0.9242 0.8484 0.6227
K 0.3198 0.6396 0.4486
K 0.3198 0.6396 0.0514
K 0.3964 0.7929 0.2500
K 0.6036 0.2071 0.7500
K 0.6802 0.3604 0.5514
K 0.6802 0.3604 0.9486
K 0.0758 0.1516 0.1227
K 0.0758 0.1516 0.3773
Ga 0.7816 0.5631 0.7500
Ga 0.2184 0.4369 0.2500
Au 0.7192 0.4383 0.3423
Au 0.7192 0.4383 0.1577
Au 0.2808 0.5617 0.6577
Au 0.2808 0.5617 0.8423

The calculation puts the calculated total energy at -2.010 eV per atom. The value obtained for the formation energy from the elements is -0.13 eV per atom. As for the magnetic moment: 0.00 μB per formula unit.